{
  "formula": "SmYHSe",
  "functional": "GGA-PBE",
  "state": "relaxed",
  "lattice_angstrom": [[1.9560, 1.1293, 13.1821], [-1.9560, 1.1293, 13.1821], [0.0000, -2.2586, 13.1821]],
  "species": ["Sm", "Sm", "Y", "Y", "H", "H", "Se", "Se"],
  "frac_coords": [[0.1289, 0.1289, 0.1289], [0.8711, 0.8711, 0.8711], [0.2973, 0.2973, 0.2973], [0.7027, 0.7027, 0.7027], [0.1868, 0.1868, 0.1868], [0.8132, 0.8132, 0.8132], [0.4155, 0.4155, 0.4155], [0.5845, 0.5845, 0.5845]],
  "density_g_cm3": 6.1,
  "energy_ev_per_cell": -45.11,
  "sg": "No. 166",
  "volume_a3_per_cell": 175
}



{
  "formula": "SnH3Se",
  "functional": "GGA-PBE",
  "state": "relaxed",
  "lattice_angstrom": [[3.9198, 0.0000, 0.0000], [0.0000, 3.9198, 0.0000], [0.0000, 0.0000, 3.9198]],
  "species": ["Sn", "H", "H", "H", "Se"],
  "frac_coords": [[0.0000, 0.0000, 0.0000], [0.0000, 0.5000, 0.5000], [0.5000, 0.0000, 0.5000], [0.5000, 0.5000, 0.0000], [0.5000, 0.5000, 0.5000]],
  "density_g_cm3": 5.5,
  "energy_ev_per_cell": -14.17,
  "sg": "No. 221",
  "volume_a3_per_cell": 60
}



{
  "formula": "SnH3Se",
  "functional": "GGA-PBE",
  "state": "relaxed",
  "lattice_angstrom": [[3.9862, 0.0000, 0.0000], [0.0000, 3.9862, 0.0000], [0.0000, 0.0000, 3.9862]],
  "species": ["Sn", "H", "H", "H", "Se"],
  "frac_coords": [[0.0000, 0.0000, 0.0000], [0.0000, 0.0000, 0.5000], [0.0000, 0.5000, 0.0000], [0.5000, 0.0000, 0.0000], [0.5000, 0.5000, 0.5000]],
  "density_g_cm3": 5.3,
  "energy_ev_per_cell": -14.35,
  "sg": "No. 221",
  "volume_a3_per_cell": 63
}